A plane-wave DFT calculation with GGA-PBE was carried out for crystalline HgH2Pb2 at its relaxed geometry.

## Properties
size of the total moment	0.000	μB/cell
V	23.43	Å³ per atom
calculated density	8.7	g/cm³
E above lowest polymorph	0.0709	eV per atom
density of states at the Fermi level	0.36	states/eV/atom

Lattice parameters (Å, degrees): 7.983 7.983 3.677 90.00 90.00 90.00
Space group P4/mbm (No. 127)
Symmetry-distinct sites (fractional):
1 Hg 0.000 0.000 0.000 (multiplicity 2)
2 H 0.250 0.250 0.500 (multiplicity 4)
3 Pb 0.155 0.345 0.000 (multiplicity 4)